# 1
! GGA-PBE Ca3PdBr2F6, relaxed; values from VASP
&SYSTEM
  ibrav = 0, nat = 12, ntyp = 4
/
ATOMIC_SPECIES
F 19.00 F.upf
Ca 40.08 Ca.upf
Br 79.90 Br.upf
Pd 106.42 Pd.upf
ATOMIC_POSITIONS angstrom
F 1.9562 -1.7007 5.5997
F 1.9562 1.7007 5.5997
Ca 2.9844 1.7622 3.5038
F 4.0126 1.8237 1.4079
F 2.1401 0.0000 2.4403
Br 5.0180 0.0000 4.3615
Ca 2.9844 -1.7622 3.5038
F 4.0126 5.2250 1.4079
Pd 2.8109 0.0000 0.4066
Br 0.9508 3.5243 2.6461
Ca 0.0000 3.5244 0.0000
F 3.8287 3.5244 4.5673
CELL_PARAMETERS angstrom
5.6218 0.0000 0.8132
0.0000 7.0487 0.0000
0.3470 -3.5244 6.1944
! Magnetic moment in μB per formula unit: 1.94
! ΔE_f (raw) in eV/atom: -2.61
! SG: C2/m

***

# 2
! GGA-PBE Rb2CaBr2F2, relaxed; values from VASP
&SYSTEM
  ibrav = 0, nat = 7, ntyp = 4
/
ATOMIC_SPECIES
F 19.00 F.upf
Br 79.90 Br.upf
Rb 85.47 Rb.upf
Ca 40.08 Ca.upf
ATOMIC_POSITIONS angstrom
F 0.0000 2.3396 0.0000
Br 2.3396 2.3396 5.8823
Rb 2.3396 2.3396 2.2684
Br 0.0000 0.0000 2.9275
F 2.3396 0.0000 0.0000
Rb 0.0000 0.0000 6.5414
Ca 0.0000 0.0000 0.0000
CELL_PARAMETERS angstrom
4.6793 0.0000 0.0000
0.0000 4.6793 0.0000
-2.3396 -2.3396 8.8098
! Magnetic moment in μB per formula unit: 0.00
! ΔE_f (raw) in eV/atom: -2.60
! SG: I4/mmm

***

# 3
! GGA-PBE RbCaBrF2, relaxed; values from VASP
&SYSTEM
  ibrav = 0, nat = 5, ntyp = 4
/
ATOMIC_SPECIES
Rb 85.47 Rb.upf
Ca 40.08 Ca.upf
Br 79.90 Br.upf
F 19.00 F.upf
ATOMIC_POSITIONS angstrom
Rb 2.2976 2.2976 2.9489
Ca 0.0000 0.0000 0.0000
Br 0.0000 0.0000 2.9489
F 0.0000 2.2976 0.0000
F 2.2976 0.0000 0.0000
CELL_PARAMETERS angstrom
4.5952 0.0000 0.0000
0.0000 4.5952 0.0000
0.0000 0.0000 5.8978
! Magnetic moment in μB per formula unit: 0.00
! ΔE_f (raw) in eV/atom: -2.89
! SG: P4/mmm

***

# 4
! GGA-PBE RbCaBr2F, relaxed; values from VASP
&SYSTEM
  ibrav = 0, nat = 5, ntyp = 4
/
ATOMIC_SPECIES
F 19.00 F.upf
Br 79.90 Br.upf
Ca 40.08 Ca.upf
Rb 85.47 Rb.upf
ATOMIC_POSITIONS angstrom
F 1.8379 0.7837 0.9069
Br -0.4355 -1.7109 2.3610
Ca 0.0000 0.0000 0.0000
Rb 2.9528 -3.0849 1.9904
Br 1.5504 -2.1576 -1.2776
CELL_PARAMETERS angstrom
-0.8711 -3.4219 4.7220
3.1008 -4.3153 -2.5551
3.6758 1.5673 1.8139
! Magnetic moment in μB per formula unit: 0.00
! ΔE_f (raw) in eV/atom: -2.45
! SG: P4/mmm

***

# 5
! GGA-PBE CaRh2BrF, relaxed; values from VASP
&SYSTEM
  ibrav = 0, nat = 5, ntyp = 4
/
ATOMIC_SPECIES
Ca 40.08 Ca.upf
Rh 102.91 Rh.upf
Br 79.90 Br.upf
F 19.00 F.upf
ATOMIC_POSITIONS angstrom
Ca 2.0696 2.8855 2.0696
Rh 2.0696 0.0000 0.0000
Br 0.0000 2.8855 0.0000
Rh 0.0000 0.0000 2.0696
F 0.0000 0.0000 0.0000
CELL_PARAMETERS angstrom
4.1392 0.0000 0.0000
0.0000 5.7711 0.0000
0.0000 0.0000 4.1392
! Magnetic moment in μB per formula unit: 0.34
! ΔE_f (raw) in eV/atom: -0.33
! SG: P4/mmm

***

# 6
! GGA-PBE CaRu2BrF, relaxed; values from VASP
&SYSTEM
  ibrav = 0, nat = 5, ntyp = 4
/
ATOMIC_SPECIES
Br 79.90 Br.upf
Ca 40.08 Ca.upf
Ru 101.07 Ru.upf
F 19.00 F.upf
ATOMIC_POSITIONS angstrom
Br -1.0289 -2.7036 -0.2168
Ca -1.0266 -2.9376 2.6902
Ru -1.3623 0.3984 1.4961
Ru 1.3646 -0.6325 1.4110
F 0.0000 0.0000 0.0000
CELL_PARAMETERS angstrom
-2.7246 0.7969 2.9922
-2.0577 -5.4072 -0.4337
2.7291 -1.2649 2.8220
! Magnetic moment in μB per formula unit: 2.54
! ΔE_f (raw) in eV/atom: 0.06
! SG: P4/mmm

***

# 7
! GGA-PBE CaSe2BrF, relaxed; values from VASP
&SYSTEM
  ibrav = 0, nat = 5, ntyp = 4
/
ATOMIC_SPECIES
Se 78.96 Se.upf
F 19.00 F.upf
Ca 40.08 Ca.upf
Br 79.90 Br.upf
ATOMIC_POSITIONS angstrom
Se 1.6320 -0.2859 2.4272
Se -1.6633 -2.2683 0.8512
F -1.6959 -0.8378 4.5998
Ca 0.0000 0.0000 0.0000
Br -1.6646 1.7165 1.3215
CELL_PARAMETERS angstrom
-3.3265 -4.5367 1.7024
3.2640 -0.5718 4.8543
-3.3292 3.4329 2.6429
! Magnetic moment in μB per formula unit: 4.01
! Polymorph energy (0 for the lowest one) in eV per atom: 0.5063
! ΔE_f (raw) in eV/atom: -0.29
! SG: P4/mmm

***

# 8
! GGA-PBE CaSe2BrF, relaxed; values from VASP
&SYSTEM
  ibrav = 0, nat = 5, ntyp = 4
/
ATOMIC_SPECIES
Ca 40.08 Ca.upf
F 19.00 F.upf
Se 78.96 Se.upf
Br 79.90 Br.upf
ATOMIC_POSITIONS angstrom
Ca 1.2669 -4.0222 -0.9769
F 0.0000 0.0000 0.0000
Se -1.1824 -1.2519 -1.3888
Br 2.5263 -1.1611 -1.1041
Se -0.0770 -1.6092 1.5161
CELL_PARAMETERS angstrom
-0.1539 -3.2185 3.0322
-2.3647 -2.5038 -2.7777
5.0526 -2.3221 -2.2083
! Magnetic moment in μB per formula unit: 0.00
! Polymorph energy (0 for the lowest one) in eV per atom: 0.0000
! ΔE_f (raw) in eV/atom: -0.79
! SG: P4/mmm